1.
# CsInHg2Rh (PBE-GGA, optimized geometry)
# Space-group type: P4/mmm
# Formation energy from the elements: -209 meV/atom
data_CsInHg2Rh
_space_group_name_H-M_alt 'P 1'
_space_group_IT_number 1
_space_group_name_Hall 'P 1'
_cell_length_a 5.483
_cell_length_b 5.483
_cell_length_c 5.176
_cell_angle_alpha 90.00
_cell_angle_beta 90.00
_cell_angle_gamma 90.00
loop_
_atom_site_label
_atom_site_type_symbol
_atom_site_fract_x
_atom_site_fract_y
_atom_site_fract_z
Cs1 Cs 0.500 0.500 0.500
Hg1 Hg 0.000 0.500 0.000
Hg2 Hg 0.500 0.000 0.000
In1 In 0.000 0.000 0.500
Rh1 Rh 0.000 0.000 0.000

=====

2.
# Cs2In2HgSb2 (PBE-GGA, optimized geometry)
# Space-group type: C2/m
# Raw formation energy: -0.292 eV/atom
data_Cs2In2HgSb2
_space_group_name_H-M_alt 'P 1'
_space_group_IT_number 1
_space_group_name_Hall 'P 1'
_cell_length_a 4.755
_cell_length_b 8.601
_cell_length_c 8.264
_cell_angle_alpha 75.08
_cell_angle_beta 73.28
_cell_angle_gamma 73.95
loop_
_atom_site_label
_atom_site_type_symbol
_atom_site_fract_x
_atom_site_fract_y
_atom_site_fract_z
Cs1 Cs 0.550 0.251 0.649
In1 In 0.812 0.334 0.042
In2 In 0.188 0.666 0.958
Sb1 Sb 0.812 0.626 0.750
Cs2 Cs 0.450 0.749 0.351
Hg1 Hg 0.000 0.000 0.000
Sb2 Sb 0.188 0.374 0.250

=====

3.
# CsIn2HgSb (PBE-GGA, optimized geometry)
# Space-group type: I4mm
# Raw formation energy: -0.216 eV/atom
data_CsIn2HgSb
_space_group_name_H-M_alt 'P 1'
_space_group_IT_number 1
_space_group_name_Hall 'P 1'
_cell_length_a 5.279
_cell_length_b 5.279
_cell_length_c 7.199
_cell_angle_alpha 111.51
_cell_angle_beta 111.51
_cell_angle_gamma 90.00
loop_
_atom_site_label
_atom_site_type_symbol
_atom_site_fract_x
_atom_site_fract_y
_atom_site_fract_z
Hg1 Hg 0.128 0.128 0.255
In1 In 0.744 0.244 0.489
Sb1 Sb 0.883 0.883 0.766
In2 In 0.244 0.744 0.489
Cs1 Cs 0.501 0.501 0.002

=====

4.
# CsInHg2Se4 (PBE-GGA, optimized geometry)
# Space-group type: I222
# Raw formation energy: -0.575 eV/atom
data_CsInHg2Se4
_space_group_name_H-M_alt 'P 1'
_space_group_IT_number 1
_space_group_name_Hall 'P 1'
_cell_length_a 6.940
_cell_length_b 7.358
_cell_length_c 7.358
_cell_angle_alpha 81.70
_cell_angle_beta 61.86
_cell_angle_gamma 61.86
loop_
_atom_site_label
_atom_site_type_symbol
_atom_site_fract_x
_atom_site_fract_y
_atom_site_fract_z
In1 In 0.000 0.500 0.500
Se1 Se 0.039 0.838 0.512
Cs1 Cs 0.000 0.000 0.000
Hg1 Hg 0.500 0.328 0.672
Se2 Se 0.961 0.488 0.162
Hg2 Hg 0.500 0.672 0.328
Se3 Se 0.611 0.512 0.838
Se4 Se 0.389 0.162 0.488

=====

Number 1: calculated density 8.025 g/cm³, volume 31.114 Å³ per atom. Number 2: calculated density 5.111 g/cm³, volume 43.606 Å³ per atom. Number 3: calculated density 6.629 g/cm³, volume 34.310 Å³ per atom. Number 4: calculated density 5.512 g/cm³, volume 36.332 Å³ per atom.